Record 1
An optimized crystal structure of NaAgBi. Source: the Alexandria database, functional PBE-GGA.

Structure (extended XYZ):
```
6
Lattice="4.775 0.000 0.000 -2.388 4.135 0.000 0.000 0.000 8.560" Properties=species:S:1:pos:R:3 pbc="T T T"
Na 0.000 0.000 1.802
Na 0.000 0.000 6.758
Ag 0.000 2.757 2.913
Ag 0.000 2.757 5.647
Bi 0.000 2.757 0.000
Bi 2.388 1.378 4.280
```

Results
Its formation energy is -0.0157 eV per atom. Its magnetization is 0.0 μB per cell. As for the crystal system: hexagonal. The value obtained for the calculated total energy is -2.6995 eV/atom.

***

Record 2
An optimized crystal structure of Na3Bi3PtO8. Source: the Alexandria database, functional PBE-GGA.

Structure (extended XYZ):
```
15
Lattice="3.464 2.000 5.649 -3.464 2.000 5.649 0.000 -4.000 5.649" Properties=species:S:1:pos:R:3 pbc="T T T"
Na -1.732 -1.000 5.649
Na -1.732 1.000 11.298
Na 0.000 2.000 5.649
Bi -3.464 0.000 8.474
Bi -1.732 1.000 2.825
Bi 1.732 1.000 2.825
Pt 0.000 0.000 8.474
O 0.000 0.000 4.146
O -1.510 -0.872 9.635
O 0.000 -1.744 7.312
O -1.510 0.872 7.312
O 1.510 -0.872 9.635
O 0.000 1.744 9.635
O 1.510 0.872 7.312
O 0.000 0.000 12.801
```

Results
Its magnetization is 0.0 μB per cell. As for the crystal system: trigonal. The value obtained for the calculated total energy is -5.2443 eV/atom.